Record 1
An optimized crystal structure of LaGeAu. Source: Alexandria via LeMat-Bulk, functional PBEsol.

Cell lengths 4.4718, 4.4718, 7.9390 Å; angles 90.00, 90.00, 120.00 degrees
Space group P6_3mc (No. 186)
Unique sites:
La: 0.0000 0.0000 0.0000 x2
Ge: 0.3333 0.6667 0.2796 x2
Au: 0.3333 0.6667 0.7340 x2

Values from the calculation:
Formation energy ... -2.7 eV/f.u.
Crystal system ... hexagonal



Record 2
An optimized crystal structure of CrTeN3. Source: Alexandria via LeMat-Bulk, functional PBEsol.

Cell lengths 3.920, 3.920, 3.920 Å; angles 90.00, 90.00, 90.00 degrees
Space group Pm-3m (No. 221)
Unique sites:
Cr: 0.000 0.000 0.000 x1
Te: 0.500 0.500 0.500 x1
N: 0.000 0.500 0.500 x3

Values from the calculation:
Formation energy without anion corrections ... 1.520 eV per atom
Crystal system ... cubic



Record 3
An optimized crystal structure of Al2O3. Source: Alexandria via LeMat-Bulk, functional PBEsol.

Cell lengths 3.0172, 3.0172, 17.3173 Å; angles 90.00, 90.00, 120.00 degrees
Space group R3m (No. 160, hexagonal axes)
Unique sites:
Al: 0.0000 0.0000 0.0000 x3
Al: 0.0000 0.0000 0.4996 x3
O: 0.0000 0.0000 0.1647 x3
O: 0.0000 0.0000 0.3864 x3
O: 0.0000 0.0000 0.6108 x3

Values from the calculation:
Formation energy without anion corrections ... -2.971 eV per atom
Crystal system ... trigonal



Record 4
An optimized crystal structure of SrTaMn2. Source: Alexandria via LeMat-Bulk, functional PBEsol.

Cell lengths 4.949, 4.949, 2.944 Å; angles 90.00, 90.00, 90.00 degrees
Space group P4/mmm (No. 123)
Unique sites:
Sr: 0.000 0.000 0.000 x1
Ta: 0.500 0.500 0.000 x1
Mn: 0.000 0.500 0.500 x2

Values from the calculation:
Formation energy ... 3.6 eV/f.u.
Crystal system ... tetragonal



Record 5
An optimized crystal structure of Ba3GaRe. Source: Alexandria via LeMat-Bulk, functional PBEsol.

Cell lengths 6.105, 6.105, 6.105 Å; angles 90.00, 90.00, 90.00 degrees
Space group Pm-3m (No. 221)
Unique sites:
Ba: 0.000 0.000 0.500 x3
Ga: 0.000 0.000 0.000 x1
Re: 0.500 0.500 0.500 x1

Values from the calculation:
Formation energy ... 6.5 eV/f.u.
Crystal system ... cubic



Record 6
An optimized crystal structure of TlCdI3. Source: Alexandria via LeMat-Bulk, functional PBEsol.

Cell lengths 5.904, 5.904, 5.904 Å; angles 90.00, 90.00, 90.00 degrees
Space group Pm-3m (No. 221)
Unique sites:
Tl: 0.000 0.000 0.000 x1
Cd: 0.500 0.500 0.500 x1
I: 0.000 0.000 0.500 x3

Values from the calculation:
Formation energy without anion corrections ... 0.027 eV per atom
Crystal system ... cubic



Going through the records in order, we get density of states at the Fermi level values of 0.185 0.560 0.000 1.444 1.738 0.574 states/eV per atom.
Going through the records in order, we get VASP energy values of -5.642 -6.350 -7.758 -7.577 -3.333 -1.798 eV per atom.